# 1
First-principles (PBE) data for a geometry-optimized Pa4GeRh structure, as listed in Alexandria via LeMat-Bulk.

abc: 7.383 7.383 5.748
angles: 102.51 102.51 111.56
Element x y z (fractional)
Pa 0.072 0.687 0.929
Pa 0.211 0.424 0.665
Pa 0.313 0.928 0.571
Pa 0.424 0.211 0.165
Pa 0.576 0.789 0.835
Pa 0.687 0.072 0.429
Pa 0.789 0.576 0.335
Pa 0.928 0.313 0.071
Ge 0.390 0.610 0.250
Ge 0.610 0.390 0.750
Rh 0.002 0.998 0.250
Rh 0.998 0.002 0.750

Properties
Volume (Å³ per cell): 268.9
Formation enthalpy at 0 K (eV per atom): -0.35
M_tot (μB per atom): 0.000
Mass density (kg/m³): 13580

=====

# 2
First-principles (PBE) data for a geometry-optimized PaGe3Rh3 structure, as listed in Alexandria via LeMat-Bulk.

abc: 6.668 6.668 6.668
angles: 90.00 90.00 90.00
Element x y z (fractional)
Pa 0.000 0.000 0.000
Pa 0.500 0.500 0.500
Ge 0.000 0.250 0.500
Ge 0.000 0.750 0.500
Ge 0.250 0.500 0.000
Ge 0.500 0.000 0.250
Ge 0.500 0.000 0.750
Ge 0.750 0.500 0.000
Rh 0.000 0.500 0.250
Rh 0.000 0.500 0.750
Rh 0.250 0.000 0.500
Rh 0.500 0.250 0.000
Rh 0.500 0.750 0.000
Rh 0.750 0.000 0.500

Properties
Volume (Å³ per cell): 296.5
Formation enthalpy at 0 K (eV per atom): -0.05
M_tot (μB per atom): 0.323
Mass density (kg/m³): 8488

=====

# 3
First-principles (PBE) data for a geometry-optimized PaGeRh6 structure, as listed in Alexandria via LeMat-Bulk.

abc: 7.911 7.933 3.970
angles: 90.00 90.00 90.00
Element x y z (fractional)
Pa 0.000 0.000 0.000
Pa 0.500 0.500 0.000
Ge 0.000 0.500 0.000
Ge 0.500 0.000 0.000
Rh 0.000 0.255 0.500
Rh 0.000 0.745 0.500
Rh 0.243 0.500 0.500
Rh 0.250 0.250 0.000
Rh 0.250 0.750 0.000
Rh 0.257 0.000 0.500
Rh 0.500 0.245 0.500
Rh 0.500 0.755 0.500
Rh 0.743 0.000 0.500
Rh 0.750 0.250 0.000
Rh 0.750 0.750 0.000
Rh 0.757 0.500 0.500

Properties
Volume (Å³ per cell): 249.1
Formation enthalpy at 0 K (eV per atom): -0.54
M_tot (μB per atom): 0.000
Mass density (kg/m³): 12278

=====

# 4
First-principles (PBE) data for a geometry-optimized PaGe2Rh2 structure, as listed in Alexandria via LeMat-Bulk.

abc: 5.264 5.265 8.295
angles: 71.51 80.99 60.06
Element x y z (fractional)
Pa 0.250 0.124 0.251
Pa 0.750 0.876 0.749
Ge 0.251 0.498 0.499
Ge 0.252 0.750 0.002
Ge 0.748 0.250 0.998
Ge 0.749 0.502 0.501
Rh 0.090 0.206 0.750
Rh 0.406 0.549 0.750
Rh 0.594 0.451 0.250
Rh 0.910 0.794 0.250

Properties
Volume (Å³ per cell): 189.0
Formation enthalpy at 0 K (eV per atom): -0.56
M_tot (μB per atom): 0.000
Mass density (kg/m³): 10231

=====

# 5
First-principles (PBE) data for a geometry-optimized PaGeRh5 structure, as listed in Alexandria via LeMat-Bulk.

abc: 5.632 5.632 8.884
angles: 103.27 103.27 60.74
Element x y z (fractional)
Pa 0.154 0.846 0.750
Pa 0.846 0.154 0.250
Ge 0.000 0.500 0.000
Ge 0.500 0.000 0.500
Rh 0.183 0.301 0.724
Rh 0.247 0.521 0.500
Rh 0.301 0.183 0.224
Rh 0.314 0.686 0.250
Rh 0.479 0.753 0.000
Rh 0.521 0.247 0.000
Rh 0.686 0.314 0.750
Rh 0.699 0.817 0.776
Rh 0.753 0.479 0.500
Rh 0.817 0.699 0.276

Properties
Volume (Å³ per cell): 236.9
Formation enthalpy at 0 K (eV per atom): -0.44
M_tot (μB per atom): 0.000
Mass density (kg/m³): 11468

=====

# 6
First-principles (PBE) data for a geometry-optimized Pa3Ge2Rh structure, as listed in Alexandria via LeMat-Bulk.

abc: 11.947 4.063 10.905
angles: 90.00 90.00 90.00
Element x y z (fractional)
Pa 0.047 0.250 0.115
Pa 0.130 0.750 0.563
Pa 0.231 0.250 0.776
Pa 0.269 0.750 0.276
Pa 0.370 0.250 0.063
Pa 0.453 0.750 0.615
Pa 0.547 0.250 0.385
Pa 0.630 0.750 0.937
Pa 0.731 0.250 0.724
Pa 0.769 0.750 0.224
Pa 0.870 0.250 0.437
Pa 0.953 0.750 0.885
Ge 0.005 0.750 0.301
Ge 0.189 0.750 0.996
Ge 0.311 0.250 0.496
Ge 0.495 0.250 0.801
Ge 0.505 0.750 0.199
Ge 0.689 0.750 0.504
Ge 0.811 0.250 0.004
Ge 0.995 0.250 0.699
Rh 0.124 0.250 0.375
Rh 0.376 0.750 0.875
Rh 0.624 0.250 0.125
Rh 0.876 0.750 0.625

Properties
Volume (Å³ per cell): 529.3
Formation enthalpy at 0 K (eV per atom): -0.56
M_tot (μB per atom): 0.001
Mass density (kg/m³): 11811

=====

# 7
First-principles (PBE) data for a geometry-optimized PaGeRh2 structure, as listed in Alexandria via LeMat-Bulk.

abc: 3.491 3.491 5.965
angles: 90.00 90.00 90.00
Element x y z (fractional)
Pa 0.000 0.000 0.000
Ge 0.000 0.000 0.500
Rh 0.500 0.500 0.262
Rh 0.500 0.500 0.738

Properties
Volume (Å³ per cell): 72.7
Formation enthalpy at 0 K (eV per atom): -0.50
M_tot (μB per atom): 0.000
Mass density (kg/m³): 11638

=====

# 8
First-principles (PBE) data for a geometry-optimized Pa2GeRh structure, as listed in Alexandria via LeMat-Bulk.

abc: 4.343 4.343 4.276
angles: 90.00 90.00 90.00
Element x y z (fractional)
Pa 0.000 0.500 0.000
Pa 0.500 0.000 0.000
Ge 0.000 0.000 0.500
Rh 0.500 0.500 0.500

Properties
Volume (Å³ per cell): 80.6
Formation enthalpy at 0 K (eV per atom): -0.51
M_tot (μB per atom): 0.000
Mass density (kg/m³): 13131

=====

# 9
First-principles (PBE) data for a geometry-optimized Pa2GeRh6 structure, as listed in Alexandria via LeMat-Bulk.

abc: 6.438 6.438 9.549
angles: 90.00 90.00 90.00
Element x y z (fractional)
Pa 0.000 0.000 0.176
Pa 0.000 0.000 0.824
Pa 0.500 0.500 0.324
Pa 0.500 0.500 0.676
Ge 0.000 0.000 0.500
Ge 0.500 0.500 0.000
Rh 0.209 0.209 0.344
Rh 0.209 0.209 0.656
Rh 0.210 0.210 0.000
Rh 0.290 0.710 0.500
Rh 0.291 0.709 0.156
Rh 0.291 0.709 0.844
Rh 0.709 0.291 0.156
Rh 0.709 0.291 0.844
Rh 0.710 0.290 0.500
Rh 0.790 0.790 0.000
Rh 0.791 0.791 0.344
Rh 0.791 0.791 0.656

Properties
Volume (Å³ per cell): 395.8
Formation enthalpy at 0 K (eV per atom): 0.10
M_tot (μB per atom): 0.000
Mass density (kg/m³): 9668

=====

# 10
First-principles (PBE) data for a geometry-optimized Pa2GeRh structure, as listed in Alexandria via LeMat-Bulk.

abc: 5.900 3.939 8.007
angles: 90.00 108.96 90.00
Element x y z (fractional)
Pa 0.193 0.250 0.405
Pa 0.281 0.750 0.068
Pa 0.719 0.250 0.932
Pa 0.807 0.750 0.595
Ge 0.366 0.750 0.698
Ge 0.634 0.250 0.302
Rh 0.127 0.250 0.802
Rh 0.873 0.750 0.198

Properties
Volume (Å³ per cell): 176.0
Formation enthalpy at 0 K (eV per atom): -0.60
M_tot (μB per atom): 0.000
Mass density (kg/m³): 12030

=====

# 11
First-principles (PBE) data for a geometry-optimized PaGeRh6 structure, as listed in Alexandria via LeMat-Bulk.

abc: 7.242 7.199 5.543
angles: 90.00 94.95 90.00
Element x y z (fractional)
Pa 0.000 0.000 0.000
Pa 0.500 0.500 0.000
Ge 0.000 0.500 0.500
Ge 0.500 0.000 0.500
Rh 0.144 0.312 0.177
Rh 0.144 0.688 0.177
Rh 0.167 0.000 0.443
Rh 0.333 0.500 0.557
Rh 0.356 0.188 0.823
Rh 0.356 0.812 0.823
Rh 0.644 0.188 0.177
Rh 0.644 0.812 0.177
Rh 0.667 0.500 0.443
Rh 0.833 0.000 0.557
Rh 0.856 0.312 0.823
Rh 0.856 0.688 0.823

Properties
Volume (Å³ per cell): 287.9
Formation enthalpy at 0 K (eV per atom): -0.03
M_tot (μB per atom): 0.000
Mass density (kg/m³): 10625

=====

# 12
First-principles (PBE) data for a geometry-optimized PaGeRh2 structure, as listed in Alexandria via LeMat-Bulk.

abc: 3.934 6.849 5.605
angles: 90.00 109.34 90.00
Element x y z (fractional)
Pa 0.071 0.250 0.130
Pa 0.929 0.750 0.870
Ge 0.226 0.750 0.431
Ge 0.774 0.250 0.569
Rh 0.349 0.040 0.733
Rh 0.349 0.460 0.733
Rh 0.651 0.540 0.267
Rh 0.651 0.960 0.267

Properties
Volume (Å³ per cell): 142.5
Formation enthalpy at 0 K (eV per atom): -0.78
M_tot (μB per atom): 0.000
Mass density (kg/m³): 11874